Compound: Zr2CoPt
Source: Alexandria
Functional: PBE-GGA
Structure: optimized geometry

Geometry as POSCAR:
```
Zr2CoPt
1.0
-2.908 -3.010 4.081
2.081 -1.828 -5.148
4.942 2.241 -2.174
Zr Co Pt
2 1 1
Direct
0.000 0.237 0.237 Zr
0.000 0.763 0.763 Zr
0.000 0.000 0.000 Co
0.000 0.500 0.500 Pt
```

Computed properties:
ΔH_f (0 K), meV per atom: 302.3
E_tot, eV/atom: -7.26
Space group: Immm

***

Compound: SrAc2Ir
Source: Alexandria
Functional: PBE-GGA
Structure: optimized geometry

Geometry as POSCAR:
```
SrAc2Ir
1.0
-2.788 2.605 -0.007
-1.174 -1.265 -3.403
-6.401 -6.837 4.748
Sr Ac Ir
1 2 1
Direct
0.500 0.500 0.500 Sr
0.000 0.000 0.836 Ac
0.000 0.000 0.164 Ac
0.500 0.500 0.000 Ir
```

Computed properties:
ΔH_f (0 K), meV per atom: -248.4
E_tot, eV/atom: -4.94
Distance to the lowest polymorph of the same formula, meV per atom: 190.4
Space group: P4/mmm

***

Compound: BeSi2Ru
Source: Alexandria
Functional: PBE-GGA
Structure: optimized geometry

Geometry as POSCAR:
```
BeSi2Ru
1.0
4.443 0.003 0.001
3.532 2.695 0.001
0.389 0.131 4.117
Ru Si Be
1 2 1
Direct
0.254 0.254 0.243 Ru
0.990 0.990 0.020 Si
0.748 0.748 0.735 Si
0.508 0.508 0.502 Be
```

Computed properties:
ΔE_f (raw), meV/atom: -165.1
E_tot, eV/atom: -6.13
Space group: Cm

***

Compound: NdCd3Rh
Source: Alexandria
Functional: PBE-GGA
Structure: optimized geometry

Geometry as POSCAR:
```
NdCd3Rh
1.0
-5.036 -1.017 -4.803
-3.005 -3.242 3.837
-2.695 4.461 1.659
Nd Cd Rh
2 6 2
Direct
0.111 0.750 0.645 Nd
0.889 0.250 0.355 Nd
0.694 0.503 0.872 Cd
0.306 0.497 0.128 Cd
0.694 0.997 0.872 Cd
0.306 0.003 0.128 Cd
0.609 0.750 0.401 Cd
0.391 0.250 0.599 Cd
0.965 0.750 0.159 Rh
0.035 0.250 0.841 Rh
```

Computed properties:
ΔH_f (0 K), meV per atom: -372.9
E_tot, eV/atom: -3.35
Distance to the lowest polymorph of the same formula, meV per atom: 0.0
Space group: P2_1/m

***

Compound: ZrMn2In
Source: Alexandria
Functional: PBE-GGA
Structure: optimized geometry

Geometry as POSCAR:
```
ZrMn2In
1.0
-9.282 0.171 1.029
-8.782 -2.849 1.417
-8.482 -0.916 3.804
In Mn Zr
1 2 1
Direct
0.750 0.750 0.750 In
0.999 0.999 0.999 Mn
0.501 0.501 0.501 Mn
0.250 0.250 0.250 Zr
```

Computed properties:
ΔH_f (0 K), meV per atom: 311.0
E_tot, eV/atom: -7.10
Space group: R-3m

***

Compound: P2PdWCl
Source: Alexandria
Functional: PBE-GGA
Structure: optimized geometry

Geometry as POSCAR:
```
P2PdWCl
1.0
4.647 0.000 0.000
0.000 4.647 0.000
0.000 0.000 4.663
P Pd W Cl
2 1 1 1
Direct
0.000 0.500 0.000 P
0.500 0.000 0.000 P
0.000 0.000 0.000 Pd
0.500 0.500 0.500 W
0.000 0.000 0.500 Cl
```

Computed properties:
ΔE_f (raw), meV/atom: 1306.2
E_tot, eV/atom: -4.86
Distance to the lowest polymorph of the same formula, meV per atom: 741.1
Space group: P4/mmm

***

Compound: Zn2Tc3
Source: Alexandria
Functional: PBE-GGA
Structure: optimized geometry

Geometry as POSCAR:
```
Zn2Tc3
1.0
0.000 4.515 6.664
2.408 0.000 6.664
2.408 4.515 0.000
Zn Tc
4 6
Direct
0.351 0.552 0.158 Zn
0.939 0.158 0.552 Zn
0.698 0.899 0.311 Zn
0.092 0.311 0.899 Zn
0.317 0.496 0.698 Tc
0.489 0.698 0.496 Tc
0.754 0.933 0.761 Tc
0.552 0.761 0.933 Tc
0.904 0.096 0.096 Tc
0.154 0.346 0.346 Tc
```

Computed properties:
ΔH_f (0 K), meV per atom: 206.8
E_tot, eV/atom: -6.52
Distance to the lowest polymorph of the same formula, meV per atom: 147.7
Space group: Fdd2

***

Compound: BeH2S
Source: Alexandria
Functional: PBE-GGA
Structure: optimized geometry

Geometry as POSCAR:
```
BeH2S
1.0
3.734 0.000 0.000
1.867 3.234 0.000
1.867 1.078 2.827
Be S H
1 1 2
Direct
0.000 0.000 0.000 Be
0.500 0.500 0.500 S
0.165 0.165 0.505 H
0.835 0.835 0.495 H
```

Computed properties:
E_tot, eV/atom: -3.08
Distance to the lowest polymorph of the same formula, meV per atom: 0.0
Space group: R-3m

***

Compound: CsDyPb2
Source: Alexandria
Functional: PBE-GGA
Structure: optimized geometry

Geometry as POSCAR:
```
CsDyPb2
1.0
-0.056 2.905 2.506
-0.535 -0.699 3.735
11.046 -0.274 3.502
Pb Cs Dy
2 1 1
Direct
0.739 0.739 0.782 Pb
0.261 0.261 0.218 Pb
0.500 0.500 0.500 Cs
0.000 0.000 0.000 Dy
```

Computed properties:
ΔH_f (0 K), meV per atom: -132.7
E_tot, eV/atom: -3.35
Distance to the lowest polymorph of the same formula, meV per atom: 175.6
Space group: R-3m

***

Compound: LiTeAu2Cl
Source: Alexandria
Functional: PBE-GGA
Structure: optimized geometry

Geometry as POSCAR:
```
LiTeAu2Cl
1.0
-3.443 -2.419 2.545
4.288 -2.143 3.764
-0.599 3.916 2.913
Te Au Li Cl
1 2 1 1
Direct
0.000 0.500 0.000 Te
0.000 0.000 0.500 Au
0.500 0.000 0.000 Au
0.500 0.500 0.500 Li
0.000 0.000 0.000 Cl
```

Computed properties:
ΔE_f (raw), meV/atom: 422.2
E_tot, eV/atom: -2.27
Distance to the lowest polymorph of the same formula, meV per atom: 392.4
Space group: P4/mmm

***

Compound: La2SbO
Source: Alexandria
Functional: PBE-GGA
Structure: optimized geometry

Geometry as POSCAR:
```
La2SbO
1.0
-1.945 -4.317 -0.121
0.844 -0.511 4.633
-8.303 3.689 1.918
La Sb O
4 2 2
Direct
0.750 0.750 0.844 La
0.750 0.250 0.500 La
0.250 0.250 0.156 La
0.250 0.750 0.500 La
0.250 0.250 0.794 Sb
0.750 0.750 0.206 Sb
0.250 0.250 0.416 O
0.750 0.750 0.584 O
```

Computed properties:
ΔE_f (raw), meV/atom: -2103.7
E_tot, eV/atom: -6.84
Distance to the lowest polymorph of the same formula, meV per atom: 0.0
Space group: P4/nmm

***

Compound: Ba2Li5Zn5
Source: Alexandria
Functional: PBE-GGA
Structure: optimized geometry

Geometry as POSCAR:
```
Ba2Li5Zn5
1.0
4.567 0.000 0.000
0.000 5.677 0.000
0.000 0.000 10.337
Ba Li Zn
2 5 5
Direct
0.000 0.500 0.000 Ba
0.000 0.000 0.500 Ba
0.000 0.500 0.331 Li
0.000 0.000 0.817 Li
0.000 0.000 0.183 Li
0.000 0.500 0.669 Li
0.500 0.000 0.000 Li
0.500 0.500 0.500 Zn
0.500 0.748 0.255 Zn
0.500 0.252 0.745 Zn
0.500 0.252 0.255 Zn
0.500 0.748 0.745 Zn
```

Computed properties:
ΔH_f (0 K), meV per atom: -115.7
E_tot, eV/atom: -1.76
Space group: Pmmm

***

Compound: La2ErAg6
Source: Alexandria
Functional: PBE-GGA
Structure: optimized geometry

Geometry as POSCAR:
```
La2ErAg6
1.0
4.178 -7.237 0.000
4.178 7.237 0.000
0.000 0.000 3.562
La Er Ag
2 1 6
Direct
0.333 0.667 0.000 La
0.667 0.333 0.000 La
0.000 0.000 0.000 Er
0.671 0.000 0.500 Ag
0.000 0.671 0.500 Ag
0.329 0.000 0.500 Ag
0.671 0.671 0.500 Ag
0.000 0.329 0.500 Ag
0.329 0.329 0.500 Ag
```

Computed properties:
ΔH_f (0 K), meV per atom: -257.2
E_tot, eV/atom: -3.76
Space group: P6/mmm

***

Compound: LaCe7Pb4
Source: Alexandria
Functional: PBE-GGA
Structure: optimized geometry

Geometry as POSCAR:
```
LaCe7Pb4
1.0
-4.693 -2.498 2.689
3.856 -5.663 8.070
-2.929 3.668 4.894
La Ce Pb
1 7 4
Direct
0.000 0.000 0.000 La
0.801 0.892 0.505 Ce
0.199 0.108 0.495 Ce
0.024 0.648 0.305 Ce
0.976 0.352 0.695 Ce
0.372 0.539 0.716 Ce
0.500 0.000 0.000 Ce
0.628 0.461 0.284 Ce
0.600 0.212 0.589 Pb
0.400 0.788 0.411 Pb
0.726 0.672 0.877 Pb
0.274 0.328 0.123 Pb
```

Computed properties:
ΔH_f (0 K), meV per atom: -99.5
E_tot, eV/atom: -5.21
Space group: C2/m

***

Compound: CaTb3Dy
Source: Alexandria
Functional: PBE-GGA
Structure: optimized geometry

Geometry as POSCAR:
```
CaTb3Dy
1.0
6.352 0.000 0.000
0.000 6.408 1.760
0.000 0.832 9.519
Ca Tb Dy
2 6 2
Direct
0.750 0.187 0.627 Ca
0.250 0.813 0.373 Ca
0.750 0.611 0.262 Tb
0.750 0.127 0.262 Tb
0.250 0.873 0.738 Tb
0.250 0.389 0.738 Tb
0.000 0.000 0.000 Tb
0.500 0.000 0.000 Tb
0.750 0.550 0.901 Dy
0.250 0.450 0.099 Dy
```

Computed properties:
ΔH_f (0 K), meV per atom: 334.4
E_tot, eV/atom: -3.76
Space group: Cmcm

***

Compound: NbNiN2
Source: Alexandria
Functional: PBE-GGA
Structure: optimized geometry

Geometry as POSCAR:
```
NbNiN2
1.0
-5.528 -2.332 -1.411
-3.658 -4.672 -1.665
-4.690 -3.861 1.039
Ni Nb N
1 1 2
Direct
0.500 0.500 0.500 Ni
0.000 0.000 0.000 Nb
0.886 0.886 0.886 N
0.114 0.114 0.114 N
```

Computed properties:
ΔE_f (raw), meV/atom: 503.6
E_tot, eV/atom: -7.62
Space group: R-3m

***

Compound: PmNdHoHg
Source: Alexandria
Functional: PBE-GGA
Structure: optimized geometry

Geometry as POSCAR:
```
PmNdHoHg
1.0
5.492 0.000 0.000
2.746 4.756 0.000
2.746 1.585 4.484
Pm Nd Hg Ho
1 1 1 1
Direct
0.750 0.750 0.750 Pm
0.500 0.500 0.500 Nd
0.250 0.250 0.250 Hg
0.000 0.000 0.000 Ho
```

Computed properties:
ΔH_f (0 K), meV per atom: -35.0
E_tot, eV/atom: -3.63
Distance to the lowest polymorph of the same formula, meV per atom: 196.7
Space group: F-43m

***

Compound: TlSiHg
Source: Alexandria
Functional: PBE-GGA
Structure: optimized geometry

Geometry as POSCAR:
```
TlSiHg
1.0
6.967 0.020 0.000
5.376 4.431 0.000
-6.172 -2.225 2.345
Hg Si Tl
1 1 1
Direct
0.980 0.980 0.000 Hg
0.346 0.346 0.000 Si
0.674 0.674 0.000 Tl
```

Computed properties:
ΔE_f (raw), meV/atom: 439.1
E_tot, eV/atom: -2.26
Distance to the lowest polymorph of the same formula, meV per atom: 88.6
Space group: I4mm

***

Compound: SrCePa2N4
Source: Alexandria
Functional: PBE-GGA
Structure: optimized geometry

Geometry as POSCAR:
```
SrCePa2N4
1.0
3.666 0.000 0.000
-1.833 6.570 0.000
0.000 0.000 12.546
Sr Ce Pa N
2 2 4 8
Direct
0.013 0.026 0.750 Sr
0.987 0.974 0.250 Sr
0.753 0.507 0.750 Ce
0.247 0.493 0.250 Ce
0.370 0.740 0.528 Pa
0.630 0.260 0.028 Pa
0.630 0.260 0.472 Pa
0.370 0.740 0.972 Pa
0.218 0.437 0.070 N
0.782 0.563 0.570 N
0.782 0.563 0.930 N
0.218 0.437 0.430 N
0.000 0.000 0.500 N
0.000 0.000 0.000 N
0.366 0.731 0.750 N
0.634 0.269 0.250 N
```

Computed properties:
ΔE_f (raw), meV/atom: -1159.7
E_tot, eV/atom: -8.65
Space group: Cmcm

***

Compound: MnVPd
Source: Alexandria
Functional: PBE-GGA
Structure: optimized geometry

Geometry as POSCAR:
```
MnVPd
1.0
-0.433 -1.255 -2.782
1.539 -2.516 0.896
-4.337 0.072 2.351
Mn Pd V
1 1 1
Direct
0.347 0.347 0.695 Mn
0.665 0.665 0.330 Pd
0.988 0.988 0.975 V
```

Computed properties:
ΔH_f (0 K), meV per atom: -60.1
E_tot, eV/atom: -7.89
Distance to the lowest polymorph of the same formula, meV per atom: 0.0
Space group: I4mm